[1]
# PC

A PBEsol-optimized structure of PC (SCAN, Alexandria via LeMat-Bulk).

## Properties
size of the total moment: 0.0 μB/f.u.
calculated formation energy: 1933 meV per atom
E above lowest polymorph: 648.3 meV/atom

Cell: 3.8557 3.8557 3.8557 Å, 90.00 90.00 90.00°
Last column: nearest neighbours and their distance in Å.
Sites, in units of the cell vectors:
P: 0.0000 0.0000 0.5000  4 C 1.93
P: 0.0000 0.5000 0.0000  4 C 1.93
P: 0.5000 0.0000 0.0000  4 C 1.93
C: 0.0000 0.5000 0.5000  4 P 1.93
C: 0.5000 0.0000 0.5000  4 P 1.93
C: 0.5000 0.5000 0.0000  4 P 1.93

=====

[2]
# YTa3O9

A PBEsol-optimized structure of YTa3O9 (SCAN, Alexandria via LeMat-Bulk).

## Properties
size of the total moment: 0.0 μB/f.u.
energy relative to the elements, uncorrected: -3272.4 meV per atom
E above lowest polymorph: 13.7 meV/atom

Cell: 6.3871 7.5696 12.4288 Å, 90.00 90.00 90.00°
Last column: nearest neighbours and their distance in Å.
Sites, in units of the cell vectors:
Y: 0.0589 0.2500 0.0333  9 O 2.34-2.55
Y: 0.4411 0.7500 0.5333  9 O 2.34-2.55
Y: 0.5589 0.2500 0.4667  9 O 2.34-2.55
Y: 0.9411 0.7500 0.9667  9 O 2.34-2.55
Ta: 0.0000 0.0000 0.5000  6 O 1.97-2.00
Ta: 0.0000 0.5000 0.5000  6 O 1.97-2.00
Ta: 0.1974 0.0027 0.7885  6 O 1.93-2.14
Ta: 0.1974 0.4973 0.7885  6 O 1.93-2.14
Ta: 0.3026 0.5027 0.2885  6 O 1.93-2.14
Ta: 0.3026 0.9973 0.2885  6 O 1.93-2.14
Ta: 0.5000 0.0000 0.0000  6 O 1.97-2.00
Ta: 0.5000 0.5000 0.0000  6 O 1.97-2.00
Ta: 0.6974 0.0027 0.7115  6 O 1.93-2.14
Ta: 0.6974 0.4973 0.7115  6 O 1.93-2.14
Ta: 0.8026 0.5027 0.2115  6 O 1.93-2.14
Ta: 0.8026 0.9973 0.2115  6 O 1.93-2.14
O: 0.0101 0.0487 0.6577  3 Ta 2.00-2.14
O: 0.0101 0.4513 0.6577  3 Ta 2.00-2.14
O: 0.0734 0.7500 0.5288  2 Ta 1.98
O: 0.1113 0.0400 0.1682  2 Ta 1.96-2.07
O: 0.1113 0.4600 0.1682  2 Ta 1.96-2.07
O: 0.1527 0.2500 0.8348  2 Ta 1.98
O: 0.1989 0.7500 0.8096  2 Ta 1.93
O: 0.2023 0.5312 0.9648  1 Ta 1.97
O: 0.2023 0.9688 0.9648  1 Ta 1.97
O: 0.2977 0.0312 0.4648  1 Ta 1.97
O: 0.2977 0.4688 0.4648  1 Ta 1.97
O: 0.3011 0.2500 0.3096  2 Ta 1.93
O: 0.3473 0.7500 0.3348  2 Ta 1.98
O: 0.3887 0.5400 0.6682  2 Ta 1.96-2.07
O: 0.3887 0.9600 0.6682  2 Ta 1.96-2.07
O: 0.4266 0.2500 0.0288  2 Ta 1.98
O: 0.4899 0.5487 0.1577  3 Ta 2.00-2.14
O: 0.4899 0.9513 0.1577  3 Ta 2.00-2.14
O: 0.5101 0.0487 0.8423  3 Ta 2.00-2.14
O: 0.5101 0.4513 0.8423  3 Ta 2.00-2.14
O: 0.5734 0.7500 0.9712  2 Ta 1.98
O: 0.6113 0.0400 0.3318  2 Ta 1.96-2.07
O: 0.6113 0.4600 0.3318  2 Ta 1.96-2.07
O: 0.6527 0.2500 0.6652  2 Ta 1.98
O: 0.6989 0.7500 0.6904  2 Ta 1.93
O: 0.7023 0.5312 0.5352  1 Ta 1.97
O: 0.7023 0.9688 0.5352  1 Ta 1.97
O: 0.7977 0.0312 0.0352  1 Ta 1.97
O: 0.7977 0.4688 0.0352  1 Ta 1.97
O: 0.8011 0.2500 0.1904  2 Ta 1.93
O: 0.8473 0.7500 0.1652  2 Ta 1.98
O: 0.8887 0.5400 0.8318  2 Ta 1.96-2.07
O: 0.8887 0.9600 0.8318  2 Ta 1.96-2.07
O: 0.9266 0.2500 0.4712  2 Ta 1.98
O: 0.9899 0.5487 0.3423  3 Ta 2.00-2.14
O: 0.9899 0.9513 0.3423  3 Ta 2.00-2.14

=====

[3]
# BeFeGe3

A PBEsol-optimized structure of BeFeGe3 (SCAN, Alexandria via LeMat-Bulk).

## Properties
size of the total moment: 1.8 μB/f.u.
calculated formation energy: 689 meV per atom

Cell: 4.4538 4.4538 4.4538 Å, 90.00 90.00 90.00°
Last column: nearest neighbours and their distance in Å.
Sites, in units of the cell vectors:
Be: 0.0000 0.0000 0.0000  12 Ge 3.15
Fe: 0.5000 0.5000 0.5000  6 Ge 2.23
Ge: 0.0000 0.5000 0.5000  2 Fe 2.23
Ge: 0.5000 0.0000 0.5000  2 Fe 2.23
Ge: 0.5000 0.5000 0.0000  2 Fe 2.23

=====

[4]
# Ta2SiCl

A PBEsol-optimized structure of Ta2SiCl (SCAN, Alexandria via LeMat-Bulk).

## Properties
size of the total moment: 0.0 μB/f.u.
energy relative to the elements, uncorrected: 280.9 meV per atom
E above lowest polymorph: 0.0 meV/atom

Cell: 4.5423 4.5423 2.9574 Å, 90.00 90.00 90.00°
Last column: nearest neighbours and their distance in Å.
Sites, in units of the cell vectors:
Ta: 0.0000 0.5000 0.0000  4 Cl 2.71, 4 Si 2.71, 2 Ta 2.96
Ta: 0.5000 0.0000 0.0000  4 Cl 2.71, 4 Si 2.71, 2 Ta 2.96
Si: 0.0000 0.0000 0.5000  8 Ta 2.71, 2 Si 2.96
Cl: 0.5000 0.5000 0.5000  8 Ta 2.71, 2 Cl 2.96

=====

[5]
# CuH6N2Cl2

A PBEsol-optimized structure of CuH6N2Cl2 (SCAN, Alexandria via LeMat-Bulk).

## Properties
E_tot: -6.98 eV per atom
size of the total moment: 1.0 μB/f.u.

Cell: 6.5184 6.5184 5.6284 Å, 90.00 90.00 109.68°
Last column: nearest neighbours and their distance in Å.
Sites, in units of the cell vectors:
Cu: 0.1091 0.8909 0.7500  2 N 1.95
Cu: 0.8909 0.1091 0.2500  2 N 1.95
H: 0.1616 0.4636 0.1018  1 N 1.03
H: 0.1616 0.4636 0.3982  1 N 1.03
H: 0.2884 0.3205 0.2500  1 N 1.03
H: 0.3205 0.2884 0.7500  1 N 1.03
H: 0.4636 0.1616 0.6018  1 N 1.03
H: 0.4636 0.1616 0.8982  1 N 1.03
H: 0.5364 0.8384 0.1018  1 N 1.03
H: 0.5364 0.8384 0.3982  1 N 1.03
H: 0.6795 0.7116 0.2500  1 N 1.03
H: 0.7116 0.6795 0.7500  1 N 1.03
H: 0.8384 0.5364 0.6018  1 N 1.03
H: 0.8384 0.5364 0.8982  1 N 1.03
N: 0.1517 0.3671 0.2500  3 H 1.03
N: 0.3671 0.1517 0.7500  3 H 1.03
N: 0.6329 0.8483 0.2500  3 H 1.03
N: 0.8483 0.6329 0.7500  3 H 1.03
Cl: 0.1111 0.8889 0.2500  1 Cu 2.35
Cl: 0.3330 0.6670 0.7500  1 Cu 2.39, 6 H 2.44
Cl: 0.6670 0.3330 0.2500  1 Cu 2.39, 6 H 2.44
Cl: 0.8889 0.1111 0.7500  1 Cu 2.35

=====

[6]
# MgZrTl2

A PBEsol-optimized structure of MgZrTl2 (SCAN, Alexandria via LeMat-Bulk).

## Properties
size of the total moment: 0.0 μB/f.u.
calculated formation energy: -215 meV per atom

Cell: 4.5437 4.5437 4.2440 Å, 90.00 90.00 90.00°
Last column: nearest neighbours and their distance in Å.
Sites, in units of the cell vectors:
Mg: 0.0000 0.0000 0.0000  8 Tl 3.11, 4 Zr 3.21
Zr: 0.5000 0.5000 0.0000  8 Tl 3.11, 4 Mg 3.21
Tl: 0.0000 0.5000 0.5000  4 Zr 3.11, 4 Mg 3.11, 4 Tl 3.21
Tl: 0.5000 0.0000 0.5000  4 Zr 3.11, 4 Mg 3.11, 4 Tl 3.21

=====

[7]
# TaRuI2O

A PBEsol-optimized structure of TaRuI2O (SCAN, Alexandria via LeMat-Bulk).

## Properties
size of the total moment: 2.7 μB/f.u.
energy relative to the elements, uncorrected: 562.9 meV per atom
E above lowest polymorph: 420.3 meV/atom

Cell: 5.4231 5.4231 3.5986 Å, 90.00 90.00 90.00°
Last column: nearest neighbours and their distance in Å.
Sites, in units of the cell vectors:
Ta: 0.0000 0.0000 0.0000  8 I 3.25, 2 Ta 3.60
Ru: 0.5000 0.5000 0.5000  2 O 1.80
I: 0.0000 0.5000 0.5000  2 Ru 2.71
I: 0.5000 0.0000 0.5000  2 Ru 2.71
O: 0.5000 0.5000 0.0000  2 Ru 1.80

=====

[8]
# Ti3Co2SbP6O24

A PBEsol-optimized structure of Ti3Co2SbP6O24 (SCAN, Alexandria via LeMat-Bulk).

## Properties
size of the total moment: 5.0 μB/f.u.
energy relative to the elements, uncorrected: -2440.1 meV per atom

Cell: 8.3495 8.3495 8.3495 Å, 63.09 63.09 63.09°
Last column: nearest neighbours and their distance in Å.
Sites, in units of the cell vectors:
Ti: 0.0000 0.0000 0.0000  6 O 1.88-1.96
Ti: 0.2170 0.2170 0.2170  6 O 1.94-2.01
Ti: 0.7074 0.7074 0.7074  6 O 1.92-2.04
Co: 0.3547 0.3547 0.3547  6 O 2.07-2.18
Co: 0.8533 0.8533 0.8533  6 O 2.15-2.19
Sb: 0.5075 0.5075 0.5075  6 O 2.22
P: 0.1007 0.8143 0.4041  4 O 1.53-1.56
P: 0.2896 0.6032 0.9107  4 O 1.51-1.56
P: 0.4041 0.1007 0.8143  4 O 1.53-1.56
P: 0.6032 0.9107 0.2896  4 O 1.51-1.56
P: 0.8143 0.4041 0.1007  4 O 1.53-1.56
P: 0.9107 0.2896 0.6032  4 O 1.51-1.56
O: 0.0268 0.8680 0.2428  1 P 1.53
O: 0.0997 0.7638 0.9415  1 P 1.55
O: 0.1055 0.2968 0.4491  1 P 1.56
O: 0.1630 0.9792 0.3669  1 P 1.54
O: 0.2428 0.0268 0.8680  1 P 1.53
O: 0.2584 0.6204 0.4096  1 P 1.55
O: 0.2831 0.5292 0.7796  1 P 1.51
O: 0.2968 0.4491 0.1055  1 P 1.56
O: 0.3669 0.1630 0.9792  1 P 1.54
O: 0.4096 0.2584 0.6204  1 P 1.55
O: 0.4491 0.1055 0.2968  1 P 1.56
O: 0.4647 0.6691 0.8328  1 P 1.55
O: 0.5292 0.7796 0.2831  1 P 1.51
O: 0.5966 0.9393 0.7927  1 P 1.56
O: 0.6204 0.4096 0.2584  1 P 1.55
O: 0.6691 0.8328 0.4647  1 P 1.55
O: 0.7638 0.9415 0.0997  1 P 1.55
O: 0.7796 0.2831 0.5292  1 P 1.51
O: 0.7927 0.5966 0.9393  1 P 1.56
O: 0.8328 0.4647 0.6691  1 P 1.55
O: 0.8680 0.2428 0.0268  1 P 1.53
O: 0.9393 0.7927 0.5966  1 P 1.56
O: 0.9415 0.0997 0.7638  1 P 1.55
O: 0.9792 0.3669 0.1630  1 P 1.54